# InOsSe2 PBE optimized geometry
# Electronic total energy (eV per atom): -5.12
# Size of the total moment (μB/cell): 0.0
# Formation energy without anion corrections (eV per atom): 0.111
data_InOsSe2
_chemical_formula_sum 'In1 Os1 Se2'
_space_group_name_H-M_alt 'P 1 m 1'
_space_group_IT_number 6
_cell_length_a 4.4608
_cell_length_b 3.0662
_cell_length_c 7.1866
_cell_angle_alpha 90.00
_cell_angle_beta 102.18
_cell_angle_gamma 90.00
loop_
_space_group_symop_operation_xyz
'x,y,z'
'x,-y,z'
loop_
_atom_site_label
_atom_site_fract_x
_atom_site_fract_y
_atom_site_fract_z
In1 0.0000 0.0000 0.0000
Os1 0.4613 0.5000 0.9038
Se1 0.3596 0.0000 0.6396
Se2 0.7143 0.5000 0.2662